Compound: EuSiPt
Source: Alexandria via LeMat-Bulk
Functional: GGA-PBE
Structure: relaxed Values from VASP.

DOS at the Fermi energy, states/eV/atom: 3.652
ρ, g/cm3: 9.3
Raw formation energy, eV per atom: -1.038

Cell and atoms, written as Quantum ESPRESSO input:
```
&SYSTEM
  ibrav = 0, nat = 12, ntyp = 3
/
ATOMIC_SPECIES
Si 28.09 Si.upf
Eu 151.96 Eu.upf
Pt 195.08 Pt.upf
ATOMIC_POSITIONS crystal
Si 0.667 0.167 0.333
Eu 0.624 0.376 0.876
Pt 0.083 0.583 0.917
Pt 0.583 0.917 0.083
Eu 0.376 0.876 0.624
Eu 0.124 0.124 0.124
Si 0.333 0.667 0.167
Pt 0.417 0.417 0.417
Si 0.167 0.333 0.667
Si 0.833 0.833 0.833
Pt 0.917 0.083 0.583
Eu 0.876 0.624 0.376
CELL_PARAMETERS angstrom
-0.921 0.878 6.317
5.011 -3.848 1.266
3.945 5.093 -0.133
```